The following is a PBE calculation of a geometry-optimized Cs2CePr2S6 structure, from the Alexandria database. Values from VASP.

## Properties
Volume = 377.3 Å³ per cell
E_form (uncorrected) = -1817 meV/atom

```
&SYSTEM
  ibrav = 0, nat = 11, ntyp = 4
/
ATOMIC_SPECIES
Cs 132.91 Cs.upf
S 32.06 S.upf
Pr 140.91 Pr.upf
Ce 140.12 Ce.upf
CELL_PARAMETERS angstrom
7.266 -0.008 0.062
-3.598 6.312 0.062
-1.311 -2.253 8.188
ATOMIC_POSITIONS crystal
Cs 0.831 0.169 0.000
Cs 0.169 0.831 0.000
S 0.059 0.382 0.679
S 0.618 0.941 0.321
S 0.257 0.257 0.321
S 0.743 0.743 0.679
S 0.382 0.059 0.679
S 0.941 0.618 0.321
Pr 0.666 0.334 0.500
Pr 0.334 0.666 0.500
Ce 0.000 0.000 0.500
```



The following is a PBE calculation of a geometry-optimized Cs4CePr3S8 structure, from the Alexandria database. Values from VASP.

## Properties
Volume = 514.3 Å³ per cell
DOS(E_F) = 0.2661 states/eV/atom
E_form (uncorrected) = -1790 meV/atom

```
&SYSTEM
  ibrav = 0, nat = 16, ntyp = 4
/
ATOMIC_SPECIES
Pr 140.91 Pr.upf
S 32.06 S.upf
Ce 140.12 Ce.upf
Cs 132.91 Cs.upf
CELL_PARAMETERS angstrom
8.568 0.000 0.000
0.000 9.464 0.622
-4.284 -4.279 6.062
ATOMIC_POSITIONS crystal
Pr 0.500 0.500 0.500
Pr 0.000 0.500 0.500
Pr 0.500 0.500 0.000
S 0.772 0.313 0.041
S 0.228 0.687 0.959
S 0.228 0.687 0.456
S 0.269 0.313 0.041
S 0.271 0.312 0.541
S 0.729 0.688 0.459
S 0.731 0.687 0.959
S 0.772 0.313 0.544
Ce 0.000 0.500 0.000
Cs 0.500 0.000 0.500
Cs 0.000 0.000 0.000
Cs 0.500 0.000 0.000
Cs 0.000 0.000 0.500
```



The following is a PBE calculation of a geometry-optimized Cs3Ce3PrSe8 structure, from the Alexandria database. Values from VASP.

## Properties
Volume = 559.1 Å³ per cell
DOS(E_F) = 0.8582 states/eV/atom
E_form (uncorrected) = -1709 meV/atom

```
&SYSTEM
  ibrav = 0, nat = 15, ntyp = 4
/
ATOMIC_SPECIES
Ce 140.12 Ce.upf
Se 78.96 Se.upf
Cs 132.91 Cs.upf
Pr 140.91 Pr.upf
CELL_PARAMETERS angstrom
8.732 0.000 0.000
-4.366 7.562 -0.027
0.000 -5.019 8.485
ATOMIC_POSITIONS crystal
Ce 0.000 0.500 0.500
Ce 0.500 0.000 0.500
Ce 0.500 0.500 0.500
Se 0.729 0.458 0.686
Se 0.231 0.463 0.685
Se 0.769 0.046 0.315
Se 0.769 0.537 0.315
Se 0.231 0.954 0.685
Se 0.723 0.954 0.685
Se 0.277 0.046 0.315
Se 0.271 0.542 0.314
Cs 0.000 0.500 0.000
Cs 0.500 0.500 0.000
Cs 0.000 0.000 0.000
Pr 0.000 0.000 0.500
```



The following is a PBE calculation of a geometry-optimized Cs2CePr2Se6 structure, from the Alexandria database. Values from VASP.

## Properties
Volume = 419.7 Å³ per cell
E_form (uncorrected) = -1716 meV/atom

```
&SYSTEM
  ibrav = 0, nat = 11, ntyp = 4
/
ATOMIC_SPECIES
Se 78.96 Se.upf
Cs 132.91 Cs.upf
Ce 140.12 Ce.upf
Pr 140.91 Pr.upf
CELL_PARAMETERS angstrom
7.514 -0.010 0.061
-3.722 6.527 0.061
-1.358 -2.334 8.522
ATOMIC_POSITIONS crystal
Se 0.062 0.385 0.685
Se 0.257 0.257 0.316
Se 0.938 0.615 0.315
Se 0.385 0.062 0.685
Se 0.743 0.743 0.684
Se 0.615 0.938 0.315
Cs 0.170 0.830 0.000
Cs 0.830 0.170 0.000
Ce 0.000 0.000 0.500
Pr 0.666 0.334 0.500
Pr 0.334 0.666 0.500
```



The following is a PBE calculation of a geometry-optimized Cs3CePr2Se6 structure, from the Alexandria database. Values from VASP.

## Properties
Volume = 430.2 Å³ per cell
DOS(E_F) = 0.4116 states/eV/atom
E_form (uncorrected) = -1706 meV/atom

```
&SYSTEM
  ibrav = 0, nat = 12, ntyp = 4
/
ATOMIC_SPECIES
Pr 140.91 Pr.upf
Se 78.96 Se.upf
Ce 140.12 Ce.upf
Cs 132.91 Cs.upf
CELL_PARAMETERS angstrom
7.692 -0.001 0.000
-3.845 6.662 0.000
-1.283 -2.221 8.397
ATOMIC_POSITIONS crystal
Pr 0.667 0.333 0.000
Pr 0.333 0.667 0.000
Se 0.063 0.395 0.191
Se 0.937 0.605 0.809
Se 0.268 0.268 0.809
Se 0.732 0.732 0.191
Se 0.605 0.937 0.809
Se 0.395 0.063 0.191
Ce 0.000 0.000 0.000
Cs 0.167 0.833 0.500
Cs 0.833 0.167 0.500
Cs 0.500 0.500 0.500
```



The following is a PBE calculation of a geometry-optimized Cs3Ce2PrSe6 structure, from the Alexandria database. Values from VASP.

## Properties
Volume = 429.6 Å³ per cell
DOS(E_F) = 0.9564 states/eV/atom
E_form (uncorrected) = -1686 meV/atom

```
&SYSTEM
  ibrav = 0, nat = 12, ntyp = 4
/
ATOMIC_SPECIES
Se 78.96 Se.upf
Pr 140.91 Pr.upf
Cs 132.91 Cs.upf
Ce 140.12 Ce.upf
CELL_PARAMETERS angstrom
7.691 -0.001 0.000
-3.845 6.661 0.000
-1.282 -2.221 8.385
ATOMIC_POSITIONS crystal
Se 0.272 0.272 0.810
Se 0.937 0.602 0.810
Se 0.728 0.728 0.190
Se 0.398 0.063 0.190
Se 0.063 0.398 0.190
Se 0.602 0.937 0.810
Pr 0.000 0.000 0.000
Cs 0.166 0.834 0.500
Cs 0.500 0.500 0.500
Cs 0.834 0.166 0.500
Ce 0.333 0.667 0.000
Ce 0.667 0.333 0.000
```



The following is a PBE calculation of a geometry-optimized Cs3Ce2PrTe6 structure, from the Alexandria database. Values from VASP.

## Properties
Volume = 516.5 Å³ per cell
DOS(E_F) = 1.0308 states/eV/atom
E_form (uncorrected) = -1369 meV/atom

```
&SYSTEM
  ibrav = 0, nat = 12, ntyp = 4
/
ATOMIC_SPECIES
Te 127.60 Te.upf
Cs 132.91 Cs.upf
Ce 140.12 Ce.upf
Pr 140.91 Pr.upf
CELL_PARAMETERS angstrom
8.176 -0.001 0.000
-4.087 7.082 0.000
-1.363 -2.361 8.921
ATOMIC_POSITIONS crystal
Te 0.269 0.269 0.806
Te 0.731 0.731 0.194
Te 0.601 0.935 0.805
Te 0.065 0.399 0.195
Te 0.935 0.601 0.805
Te 0.399 0.065 0.195
Cs 0.834 0.166 0.500
Cs 0.500 0.500 0.500
Cs 0.166 0.834 0.500
Ce 0.667 0.333 0.000
Ce 0.333 0.667 0.000
Pr 0.000 0.000 0.000
```



The following is a PBE calculation of a geometry-optimized Cs4CePr3Te8 structure, from the Alexandria database. Values from VASP.

## Properties
Volume = 689.3 Å³ per cell
DOS(E_F) = 0.5253 states/eV/atom
E_form (uncorrected) = -1398 meV/atom

```
&SYSTEM
  ibrav = 0, nat = 16, ntyp = 4
/
ATOMIC_SPECIES
Te 127.60 Te.upf
Ce 140.12 Ce.upf
Cs 132.91 Cs.upf
Pr 140.91 Pr.upf
CELL_PARAMETERS angstrom
9.433 0.000 0.000
0.000 10.448 0.716
-4.716 -4.715 6.671
ATOMIC_POSITIONS crystal
Te 0.768 0.305 0.036
Te 0.232 0.695 0.463
Te 0.268 0.305 0.036
Te 0.232 0.695 0.964
Te 0.732 0.696 0.464
Te 0.768 0.305 0.537
Te 0.268 0.304 0.536
Te 0.732 0.695 0.964
Ce 0.000 0.500 0.000
Cs 0.500 0.000 0.500
Cs 0.500 0.000 0.000
Cs 0.000 0.000 0.500
Cs 0.000 0.000 0.000
Pr 0.500 0.500 0.000
Pr 0.500 0.500 0.500
Pr 0.000 0.500 0.500
```



What is the formula in the first record? Cs2CePr2S6